Entry 1
A plane-wave DFT calculation with PBE-GGA was carried out for Tb2CeRh after structural relaxation.

Lattice parameters (Å, degrees): 3.804 3.804 9.606 78.58 78.58 60.00
Site moments in Bohr magnetons follow the coordinates.
Fractional positions:
Tb: 0.059 0.059 0.824  0.08
Tb: 0.274 0.274 0.178  0.07
Ce: 0.501 0.501 0.496  1.15
Rh: 0.666 0.666 0.002  0.02

Properties
As for the volume: 117.17 Å³ per cell. The magnetization is 0.462 μB/atom.

=====

Entry 2
A plane-wave DFT calculation with PBE-GGA was carried out for Tb2CeRh after structural relaxation.

Lattice parameters (Å, degrees): 3.606 3.606 10.677 80.28 80.28 60.00
Site moments in Bohr magnetons follow the coordinates.
Fractional positions:
Rh: 0.500 0.500 0.500  0.01
Tb: 0.110 0.110 0.671  0.04
Tb: 0.890 0.890 0.329  0.04
Ce: 0.000 0.000 0.000  1.11

Properties
As for the volume: 117.96 Å³ per cell. The magnetization is 0.409 μB/atom.

=====

Entry 3
A plane-wave DFT calculation with PBE-GGA was carried out for Tb2CeRh after structural relaxation.

Lattice parameters (Å, degrees): 6.410 7.084 9.623 90.00 90.00 90.00
Site moments in Bohr magnetons follow the coordinates.
Fractional positions:
Tb: 0.167 0.678 0.065  0.07
Tb: 0.333 0.178 0.435  0.07
Tb: 0.833 0.322 0.565  0.07
Tb: 0.667 0.822 0.935  0.07
Tb: 0.833 0.322 0.935  0.07
Tb: 0.667 0.822 0.565  0.07
Tb: 0.167 0.678 0.435  0.07
Tb: 0.333 0.178 0.065  0.07
Ce: 0.649 0.539 0.250  0.58
Ce: 0.851 0.039 0.250  0.58
Ce: 0.351 0.461 0.750  0.58
Ce: 0.149 0.961 0.750  0.58
Rh: 0.042 0.372 0.250  -0.02
Rh: 0.458 0.872 0.250  -0.02
Rh: 0.958 0.628 0.750  -0.02
Rh: 0.542 0.128 0.750  -0.02

Properties
As for the volume: 436.97 Å³ per cell. The magnetization is 0.219 μB/atom.

=====

Entry 4
A plane-wave DFT calculation with PBE-GGA was carried out for Tb2CeRh after structural relaxation.

Lattice parameters (Å, degrees): 3.470 3.470 8.684 90.00 90.00 90.00
Site moments in Bohr magnetons follow the coordinates.
Fractional positions:
Rh: 0.500 0.500 0.000  0.00
Tb: 0.000 0.000 0.809  0.09
Tb: 0.000 0.000 0.191  0.09
Ce: 0.500 0.500 0.500  0.93

Properties
As for the volume: 104.56 Å³ per cell. The magnetization is 0.359 μB/atom.

=====

Stability check: which of them is most stable? entry 3.

=====

Entry 1
A plane-wave DFT calculation with PBE-GGA was carried out for Tb2Ce2Rh3 after structural relaxation.

Lattice parameters (Å, degrees): 7.498 7.498 7.498 109.47 109.47 109.47
Site moments in Bohr magnetons follow the coordinates.
Fractional positions:
Tb: 0.000 0.000 0.882  0.02
Tb: 0.500 0.882 0.500  0.02
Tb: 0.118 0.618 0.618  0.02
Tb: 0.382 0.500 0.000  0.02
Ce: 0.500 0.383 0.500  0.53
Ce: 0.000 0.000 0.383  0.53
Ce: 0.617 0.117 0.117  0.53
Ce: 0.883 0.500 0.000  0.53
Rh: 0.750 0.638 0.388  -0.03
Rh: 0.250 0.862 0.112  -0.03
Rh: 0.612 0.750 0.862  -0.03
Rh: 0.888 0.250 0.638  -0.03
Rh: 0.362 0.112 0.750  -0.03
Rh: 0.138 0.388 0.250  -0.03

Properties
As for the volume: 324.47 Å³ per cell. The magnetization is 0.171 μB/atom.

=====

Entry 2
A plane-wave DFT calculation with PBE-GGA was carried out for Tb2Ce2Rh3 after structural relaxation.

Lattice parameters (Å, degrees): 4.701 5.898 7.126 100.95 90.00 113.49
Site moments in Bohr magnetons follow the coordinates.
Fractional positions:
Tb: 0.636 0.273 0.917  0.03
Tb: 0.364 0.727 0.083  0.03
Ce: 0.873 0.745 0.639  0.39
Ce: 0.127 0.255 0.361  0.39
Rh: 0.000 0.000 0.000  -0.03
Rh: 0.811 0.622 0.288  -0.03
Rh: 0.189 0.378 0.712  -0.03

Properties
As for the volume: 177.24 Å³ per cell. The magnetization is 0.130 μB/atom.

=====

Stability check: which of them is most stable? entry 1.

=====

Entry 1
A plane-wave DFT calculation with PBE-GGA was carried out for Ce4TcRh after structural relaxation.

Lattice parameters (Å, degrees): 5.806 6.436 8.675 90.00 120.40 90.00
Site moments in Bohr magnetons follow the coordinates.
Fractional positions:
Ce: 0.568 0.250 0.416  0.27
Ce: 0.432 0.750 0.584  0.27
Ce: 0.636 0.250 0.848  0.28
Ce: 0.364 0.750 0.152  0.28
Ce: 0.900 0.021 0.199  0.24
Ce: 0.100 0.521 0.801  0.24
Ce: 0.900 0.479 0.199  0.24
Ce: 0.100 0.979 0.801  0.24
Tc: 0.322 0.250 0.089  -0.05
Tc: 0.678 0.750 0.911  -0.05
Rh: 0.171 0.250 0.537  -0.02
Rh: 0.829 0.750 0.463  -0.02

Properties
As for the volume: 279.63 Å³ per cell. The magnetization is 0.207 μB/atom.

=====

Entry 2
A plane-wave DFT calculation with PBE-GGA was carried out for Ce4TcRh after structural relaxation.

Lattice parameters (Å, degrees): 6.634 6.808 8.245 108.74 107.95 103.16
Site moments in Bohr magnetons follow the coordinates.
Fractional positions:
Ce: 0.270 0.071 0.566  0.55
Ce: 0.063 0.806 0.107  0.35
Ce: 0.204 0.505 0.434  0.55
Ce: 0.456 0.699 0.893  0.35
Ce: 0.730 0.929 0.434  0.55
Ce: 0.796 0.495 0.566  0.55
Ce: 0.937 0.194 0.893  0.35
Ce: 0.544 0.301 0.107  0.35
Tc: 0.349 0.599 0.199  -0.08
Tc: 0.651 0.401 0.801  -0.08
Rh: 0.844 0.094 0.187  -0.04
Rh: 0.156 0.906 0.813  -0.04

Properties
As for the volume: 312.62 Å³ per cell. The magnetization is 0.355 μB/atom.

=====

Stability check: which of them is most stable? entry 1.

=====

Entry 1
A plane-wave DFT calculation with PBE-GGA was carried out for Ce3TcRh after structural relaxation.

Lattice parameters (Å, degrees): 4.471 6.261 9.167 113.19 90.00 110.92
Fractional positions:
Ce: 0.092 0.183 0.374
Ce: 0.908 0.817 0.626
Ce: 0.467 0.935 0.160
Ce: 0.533 0.065 0.840
Ce: 0.247 0.494 0.786
Ce: 0.753 0.506 0.214
Tc: 0.860 0.720 0.929
Tc: 0.140 0.280 0.071
Rh: 0.634 0.269 0.596
Rh: 0.366 0.731 0.404

Properties
As for the volume: 217.34 Å³ per cell. The magnetization is 0.008 μB/atom.

=====

Entry 2
A plane-wave DFT calculation with PBE-GGA was carried out for Ce3TcRh after structural relaxation.

Lattice parameters (Å, degrees): 4.454 8.276 7.401 118.39 90.00 105.61
Fractional positions:
Ce: 0.430 0.861 0.138
Ce: 0.052 0.104 0.396
Ce: 0.753 0.506 0.735
Ce: 0.247 0.494 0.265
Ce: 0.570 0.139 0.862
Ce: 0.948 0.896 0.604
Tc: 0.810 0.619 0.160
Tc: 0.190 0.381 0.840
Rh: 0.649 0.299 0.293
Rh: 0.351 0.701 0.707

Properties
As for the volume: 228.46 Å³ per cell. The magnetization is 0.000 μB/atom.

=====

Stability check: which of them is most stable? entry 2.

=====

Entry 1
A plane-wave DFT calculation with PBE-GGA was carried out for CeTh2Rh after structural relaxation.

Lattice parameters (Å, degrees): 3.655 3.655 7.788 90.00 90.00 90.00
Fractional positions:
Rh: 0.500 0.500 0.000
Ce: 0.500 0.500 0.500
Th: 0.000 0.000 0.784
Th: 0.000 0.000 0.216

Properties
As for the volume: 104.01 Å³ per cell. The magnetization is 0.000 μB/atom.

=====

Entry 2
A plane-wave DFT calculation with PBE-GGA was carried out for CeTh2Rh after structural relaxation.

Lattice parameters (Å, degrees): 3.820 3.820 9.542 78.45 78.45 60.00
Site moments in Bohr magnetons follow the coordinates.
Fractional positions:
Ce: 0.499 0.499 0.503  0.77
Th: 0.065 0.065 0.804  0.01
Th: 0.269 0.269 0.193  0.06
Rh: 0.667 0.667 0.999  0.02

Properties
As for the volume: 117.32 Å³ per cell. The magnetization is 0.277 μB/atom.

=====

Stability check: which of them is most stable? entry 1.

=====

Entry 1
A plane-wave DFT calculation with PBE-GGA was carried out for CeTh2Rh after structural relaxation.

Lattice parameters (Å, degrees): 3.721 6.249 9.894 90.00 90.00 107.35
Fractional positions:
Ce: 0.912 0.825 0.250
Ce: 0.088 0.175 0.750
Th: 0.364 0.728 0.554
Th: 0.636 0.272 0.446
Th: 0.364 0.728 0.946
Th: 0.636 0.272 0.054
Rh: 0.781 0.562 0.750
Rh: 0.219 0.438 0.250

Properties
As for the volume: 219.61 Å³ per cell. The magnetization is 0.002 μB/atom.

=====

Entry 2
A plane-wave DFT calculation with PBE-GGA was carried out for CeTh2Rh after structural relaxation.

Lattice parameters (Å, degrees): 6.330 7.074 9.946 90.00 90.00 90.00
Site moments in Bohr magnetons follow the coordinates.
Fractional positions:
Ce: 0.658 0.540 0.250  0.36
Ce: 0.842 0.040 0.250  0.36
Ce: 0.342 0.460 0.750  0.36
Ce: 0.158 0.960 0.750  0.36
Th: 0.144 0.685 0.060  0.02
Th: 0.356 0.185 0.440  0.02
Th: 0.856 0.315 0.560  0.02
Th: 0.644 0.815 0.940  0.02
Th: 0.856 0.315 0.940  0.02
Th: 0.644 0.815 0.560  0.02
Th: 0.144 0.685 0.440  0.02
Th: 0.356 0.185 0.060  0.02
Rh: 0.093 0.380 0.250  -0.01
Rh: 0.407 0.880 0.250  -0.01
Rh: 0.907 0.620 0.750  -0.01
Rh: 0.593 0.120 0.750  -0.01

Properties
As for the volume: 445.43 Å³ per cell. The magnetization is 0.121 μB/atom.

=====

Stability check: which of them is most stable? entry 1.

=====

Entry 1
A plane-wave DFT calculation with PBE-GGA was carried out for CeThRh after structural relaxation.

Lattice parameters (Å, degrees): 3.682 3.682 5.849 108.35 108.35 90.00
Site moments in Bohr magnetons follow the coordinates.
Fractional positions:
Rh: 0.662 0.662 0.325  -0.01
Th: 0.017 0.017 0.033  0.01
Ce: 0.321 0.321 0.642  0.14

Properties
As for the volume: 71.03 Å³ per cell. The magnetization is 0.055 μB/atom.

=====

Entry 2
A plane-wave DFT calculation with PBE-GGA was carried out for CeThRh after structural relaxation.

Lattice parameters (Å, degrees): 4.896 4.896 4.896 60.00 60.00 60.00
Site moments in Bohr magnetons follow the coordinates.
Fractional positions:
Rh: 0.250 0.250 0.250  -0.02
Ce: 0.000 0.000 0.000  0.79
Th: 0.500 0.500 0.500  0.22

Properties
As for the volume: 83.00 Å³ per cell. The magnetization is 0.466 μB/atom.

=====

Stability check: which of them is most stable? entry 1.

=====

Entry 1
A plane-wave DFT calculation with PBE-GGA was carried out for Ce2TlRh after structural relaxation.

Lattice parameters (Å, degrees): 7.984 6.042 8.884 90.00 90.00 90.00
Site moments in Bohr magnetons follow the coordinates.
Fractional positions:
Ce: 0.234 0.501 0.872  0.56
Ce: 0.734 0.499 0.128  0.56
Ce: 0.734 0.999 0.372  0.56
Ce: 0.234 0.001 0.628  0.56
Ce: 0.548 0.001 0.938  0.66
Ce: 0.048 0.999 0.062  0.66
Ce: 0.048 0.499 0.438  0.66
Ce: 0.548 0.501 0.562  0.66
Tl: 0.877 0.251 0.751  0.01
Tl: 0.377 0.749 0.249  0.01
Tl: 0.377 0.249 0.251  0.01
Tl: 0.877 0.751 0.749  0.01
Rh: 0.091 0.998 0.371  -0.05
Rh: 0.591 0.002 0.629  -0.05
Rh: 0.591 0.502 0.871  -0.05
Rh: 0.091 0.498 0.129  -0.05

Properties
As for the volume: 428.53 Å³ per cell. The magnetization is 0.385 μB/atom.

=====

Entry 2
A plane-wave DFT calculation with PBE-GGA was carried out for Ce2TlRh after structural relaxation.

Lattice parameters (Å, degrees): 3.926 3.926 8.741 77.02 77.02 60.00
Site moments in Bohr magnetons follow the coordinates.
Fractional positions:
Ce: 0.065 0.065 0.804  0.52
Ce: 0.268 0.268 0.197  0.73
Tl: 0.499 0.499 0.504  0.01
Rh: 0.668 0.668 0.995  -0.06

Properties
As for the volume: 112.70 Å³ per cell. The magnetization is 0.373 μB/atom.

=====

Entry 3
A plane-wave DFT calculation with PBE-GGA was carried out for Ce2TlRh after structural relaxation.

Lattice parameters (Å, degrees): 3.748 3.748 6.995 90.00 90.00 90.00
Site moments in Bohr magnetons follow the coordinates.
Fractional positions:
Tl: 0.500 0.500 0.500  0.00
Rh: 0.500 0.500 0.000  -0.06
Ce: 0.000 0.000 0.799  0.44
Ce: 0.000 0.000 0.201  0.44

Properties
As for the volume: 98.25 Å³ per cell. The magnetization is 0.234 μB/atom.

=====

Stability check: which of them is most stable? entry 3.